[1]
Below is crystalline Zn2HRh at its relaxed geometry, with properties calculated at the GGA-PBE level. Values from VASP.

The calculation puts the total DFT energy (no corrections) at -2.9046 eV/atom. The density of states at the Fermi level comes out at 2.06 states/eV/cell. As for the space-group type: Fm-3m (225).

Geometry as Quantum ESPRESSO input:
```
&SYSTEM
  ibrav = 0, nat = 4, ntyp = 3
/
ATOMIC_SPECIES
Zn 65.41 Zn.upf
H 1.01 H.upf
Rh 102.91 Rh.upf
CELL_PARAMETERS angstrom
0.0000 2.9511 2.9511
2.9511 0.0000 2.9511
2.9511 2.9511 0.0000
ATOMIC_POSITIONS angstrom
Zn 1.4755 1.4755 1.4755
Zn 4.4266 4.4266 4.4266
H 0.0000 0.0000 0.0000
Rh 2.9511 2.9511 2.9511
```

=====

[2]
Below is crystalline ZrZn2HRh at its relaxed geometry, with properties calculated at the GGA-PBE level. Values from VASP.

The calculation puts the total DFT energy (no corrections) at -3.6269 eV/atom. The density of states at the Fermi level comes out at 4.64 states/eV/cell. As for the space-group type: P4/mmm (123).

Geometry as Quantum ESPRESSO input:
```
&SYSTEM
  ibrav = 0, nat = 5, ntyp = 4
/
ATOMIC_SPECIES
Zr 91.22 Zr.upf
Zn 65.41 Zn.upf
H 1.01 H.upf
Rh 102.91 Rh.upf
CELL_PARAMETERS angstrom
5.0670 0.0000 0.0000
0.0000 5.0670 0.0000
0.0000 0.0000 3.4491
ATOMIC_POSITIONS angstrom
Zr 0.0000 0.0000 0.0000
Zn 0.0000 2.5335 0.0000
Zn 2.5335 0.0000 0.0000
H 0.0000 0.0000 1.7246
Rh 2.5335 2.5335 1.7246
```

=====

[3]
Below is crystalline ZrHRh3 at its relaxed geometry, with properties calculated at the GGA-PBE level. Values from VASP.

The calculation puts the total DFT energy (no corrections) at -7.3809 eV/atom. The density of states at the Fermi level comes out at 5.99 states/eV/cell. As for the space-group type: Pm (6).

Geometry as Quantum ESPRESSO input:
```
&SYSTEM
  ibrav = 0, nat = 10, ntyp = 3
/
ATOMIC_SPECIES
Zr 91.22 Zr.upf
H 1.01 H.upf
Rh 102.91 Rh.upf
CELL_PARAMETERS angstrom
3.9639 0.0000 0.0000
0.0000 4.1004 0.0000
-0.0006 0.0000 7.9420
ATOMIC_POSITIONS angstrom
Zr 0.0000 0.0000 0.0000
Zr 0.0010 0.0000 3.9097
H 1.9784 2.0502 6.0170
H 3.9479 2.0502 3.7830
Rh 0.0002 2.0502 1.9302
Rh 3.9632 2.0502 5.9258
Rh 1.9817 0.0000 1.9372
Rh 1.9815 0.0000 5.9375
Rh 1.9808 2.0502 3.9257
Rh 1.9810 2.0502 7.9367
```